(1)
Entry from Alexandria: ZrSbBr after structural relaxation (PBE).

Cell: 3.4132 3.4132 8.4274 Å, 90.00 90.00 120.00°
Space group P3m1 (No. 156)
Inequivalent atoms, fractional coordinates:
Zr 0.0000 0.0000 0.0000 (multiplicity 1)
Sb 0.3333 0.6667 0.7176 (multiplicity 1)
Br 0.6667 0.3333 0.2267 (multiplicity 1)

Calculated values
The value obtained for the density of states at the Fermi level is 1.37 states/eV/f.u. Its formation energy (no corrections) is -0.71 eV/atom. The value obtained for the relative energy among the computed polymorphs is 0.0 meV/atom.



(2)
Entry from Alexandria: Zr2SbBr2 after structural relaxation (PBE).

Cell: 8.327 8.327 3.214 Å, 90.00 90.00 90.00°
Space group P4/mbm (No. 127)
Inequivalent atoms, fractional coordinates:
Zr 0.178 0.322 0.000 (multiplicity 4)
Sb 0.000 0.000 0.500 (multiplicity 2)
Br 0.126 0.626 0.500 (multiplicity 4)

Calculated values
The value obtained for the density of states at the Fermi level is 2.90 states/eV/f.u. Its formation energy (no corrections) is -0.23 eV/atom.



(3)
Entry from Alexandria: ZrSbBr after structural relaxation (PBE).

Cell: 4.594 4.611 15.517 Å, 90.00 90.00 90.00°
Space group Fmm2 (No. 42)
Inequivalent atoms, fractional coordinates:
Zr 0.000 0.000 0.000 (multiplicity 4)
Sb 0.000 0.000 0.641 (multiplicity 4)
Br 0.000 0.000 0.388 (multiplicity 4)

Calculated values
The value obtained for the density of states at the Fermi level is 0.02 states/eV/f.u. Its formation energy (no corrections) is -0.68 eV/atom. The value obtained for the relative energy among the computed polymorphs is 34.9 meV/atom.



(4)
Entry from Alexandria: ZrSbBr after structural relaxation (PBE).

Cell: 7.001 7.001 7.001 Å, 90.00 90.00 90.00°
Space group F-43m (No. 216)
Inequivalent atoms, fractional coordinates:
Zr 0.000 0.000 0.000 (multiplicity 4)
Sb 0.250 0.250 0.250 (multiplicity 4)
Br 0.250 0.250 0.750 (multiplicity 4)

Calculated values
The value obtained for the density of states at the Fermi level is 0.54 states/eV/f.u. Its formation energy (no corrections) is -0.36 eV/atom. The value obtained for the relative energy among the computed polymorphs is 359.4 meV/atom.